# 1
Material: HoGa2Cu9
Method: DFT, PBE-GGA
State: optimized geometry

Cell lengths 10.101, 10.101, 6.606 Å; angles 90.00, 90.00, 90.00 degrees
Space group I4_1/amd (No. 141, origin choice 2)
Inequivalent atoms, fractional coordinates:
Ho: 0.000 0.250 0.375
Ga: 0.000 0.000 0.000
Cu: 0.000 0.250 0.875
Cu: 0.122 0.042 0.679

Values from the calculation:
DOS at the Fermi energy   22.4 states/eV per cell
Crystal system   tetragonal
Formation enthalpy at 0 K   -0.157 eV/atom
Total energy   -49.385 eV per formula unit
ΔE to the lowest computed polymorph   0.0000 eV/atom


# 2
Material: Ho6GaCu2
Method: DFT, PBE-GGA
State: optimized geometry

Cell lengths 9.319, 9.684, 10.004 Å; angles 90.00, 90.00, 90.00 degrees
Space group Immm (No. 71)
Inequivalent atoms, fractional coordinates:
Ho: 0.000 0.192 0.241
Ho: 0.198 0.500 0.175
Ho: 0.224 0.319 0.500
Ga: 0.000 0.000 0.000
Ga: 0.000 0.000 0.500
Cu: 0.000 0.345 0.000
Cu: 0.000 0.500 0.379

Values from the calculation:
DOS at the Fermi energy   30.2 states/eV per cell
Crystal system   orthorhombic
Formation enthalpy at 0 K   -0.254 eV/atom
Total energy   -40.969 eV per formula unit


# 3
Material: Ho3Ga4Cu
Method: DFT, PBE-GGA
State: optimized geometry

Cell lengths 3.593, 6.362, 15.683 Å; angles 90.00, 90.00, 90.00 degrees
Space group Immm (No. 71)
Inequivalent atoms, fractional coordinates:
Ho: 0.000 0.000 0.000
Ho: 0.000 0.500 0.223
Ga: 0.000 0.260 0.384
Cu: 0.000 0.000 0.500

Values from the calculation:
DOS at the Fermi energy   7.4 states/eV per cell
Crystal system   orthorhombic
Formation enthalpy at 0 K   -0.335 eV/atom
Total energy   -32.621 eV per formula unit


# 4
Material: HoGa4Cu2
Method: DFT, PBE-GGA
State: optimized geometry

Cell lengths 16.758, 4.240, 6.616 Å; angles 90.00, 90.00, 90.00 degrees
Space group Pnma (No. 62)
Inequivalent atoms, fractional coordinates:
Ho: 0.141 0.250 0.016
Ga: 0.033 0.750 0.851
Ga: 0.068 0.250 0.483
Ga: 0.184 0.750 0.325
Ga: 0.190 0.750 0.725
Cu: 0.036 0.750 0.245
Cu: 0.217 0.250 0.530

Values from the calculation:
DOS at the Fermi energy   8.7 states/eV per cell
Crystal system   orthorhombic
Formation enthalpy at 0 K   -0.357 eV/atom
Total energy   -27.378 eV per formula unit
ΔE to the lowest computed polymorph   0.0000 eV/atom


# 5
Material: Ho3Ga2Cu
Method: DFT, PBE-GGA
State: optimized geometry

Cell lengths 11.613, 4.315, 10.992 Å; angles 90.00, 90.00, 90.00 degrees
Space group Pnma (No. 62)
Inequivalent atoms, fractional coordinates:
Ho: 0.051 0.250 0.131
Ho: 0.127 0.750 0.568
Ho: 0.219 0.250 0.806
Ga: 0.016 0.750 0.319
Ga: 0.187 0.750 0.008
Cu: 0.125 0.250 0.384

Values from the calculation:
DOS at the Fermi energy   23.5 states/eV per cell
Crystal system   orthorhombic
Formation enthalpy at 0 K   -0.478 eV/atom
Total energy   -26.754 eV per formula unit
ΔE to the lowest computed polymorph   0.0000 eV/atom


# 6
Material: Ho2Ga3Cu
Method: DFT, PBE-GGA
State: optimized geometry

Cell lengths 4.3720, 4.3720, 7.1680 Å; angles 90.00, 90.00, 120.00 degrees
Space group P3m1 (No. 156)
Inequivalent atoms, fractional coordinates:
Ho: 0.0000 0.0000 0.0000
Ho: 0.0000 0.0000 0.4708
Ga: 0.3333 0.6667 0.2186
Ga: 0.3333 0.6667 0.7822
Ga: 0.6667 0.3333 0.6895
Cu: 0.6667 0.3333 0.2714

Values from the calculation:
DOS at the Fermi energy   2.0 states/eV per cell
Crystal system   trigonal
Formation enthalpy at 0 K   -0.598 eV/atom
Total energy   -25.919 eV per formula unit
ΔE to the lowest computed polymorph   0.0000 eV/atom


# 7
Material: Ho2GaCu2
Method: DFT, PBE-GGA
State: optimized geometry

Cell lengths 10.298, 4.219, 10.420 Å; angles 90.00, 117.44, 90.00 degrees
Space group C2/m (No. 12)
Inequivalent atoms, fractional coordinates:
Ho: 0.016 0.000 0.340
Ho: 0.194 0.000 0.109
Ga: 0.226 0.500 0.347
Cu: 0.015 0.500 0.887
Cu: 0.139 0.500 0.563

Values from the calculation:
DOS at the Fermi energy   19.0 states/eV per cell
Crystal system   monoclinic
Formation enthalpy at 0 K   -0.379 eV/atom
Total energy   -22.271 eV per formula unit


# 8
Material: HoGa4Cu3
Method: DFT, PBE-GGA
State: optimized geometry

Cell lengths 4.059, 4.059, 8.192 Å; angles 90.00, 90.00, 90.00 degrees
Space group P4/mmm (No. 123)
Inequivalent atoms, fractional coordinates:
Ho: 0.000 0.000 0.000
Ga: 0.000 0.500 0.321
Cu: 0.000 0.000 0.500
Cu: 0.500 0.500 0.144

Values from the calculation:
DOS at the Fermi energy   1.9 states/eV per cell
Crystal system   tetragonal
Formation enthalpy at 0 K   -0.290 eV/atom
Total energy   -31.293 eV per formula unit